No. 1
VASP calculation (PBE-GGA) on a geometry-optimized Zn3BRh structure.

Cell lengths 4.073, 4.073, 4.073 Å; angles 90.00, 90.00, 90.00 degrees
Space group Pm-3m (No. 221)
Unique sites:
Zn1 0.000 0.000 0.500
B1 0.000 0.000 0.000
Rh1 0.500 0.500 0.500

energy above the most stable polymorph in this dataset	0.000	eV per atom
energy	-3.251	eV/atom
size of the total moment	0.000	μB/cell
calculated density	7.61	g cm⁻³

No. 2
VASP calculation (PBE-GGA) on a geometry-optimized HgAsRh structure.

Cell lengths 3.017, 3.017, 12.540 Å; angles 90.00, 90.00, 90.00 degrees
Space group I4mm (No. 107)
Unique sites:
Hg1 0.000 0.000 0.000
As1 0.000 0.000 0.720
Rh1 0.000 0.000 0.331

energy above the most stable polymorph in this dataset	0.034	eV per atom
energy	-4.232	eV/atom
size of the total moment	0.000	μB/cell
calculated density	11.01	g cm⁻³

No. 3
VASP calculation (PBE-GGA) on a geometry-optimized Rb2Np2ScTe6 structure.

Cell lengths 7.647, 13.182, 9.131 Å; angles 90.00, 106.57, 90.00 degrees
Space group C2/m (No. 12)
Unique sites:
Rb1 0.000 0.169 0.000
Np1 0.000 0.333 0.500
Sc1 0.000 0.000 0.500
Te1 0.229 0.160 0.694
Te2 0.243 0.500 0.693

energy	-5.766	eV/atom
size of the total moment	14.000	μB/cell
calculated density	5.48	g cm⁻³
formation energy without anion corrections	-0.948	eV per atom

Repeat the third record exactly.
VASP calculation (PBE-GGA) on a geometry-optimized Rb2Np2ScTe6 structure.

Cell lengths 7.647, 13.182, 9.131 Å; angles 90.00, 106.57, 90.00 degrees
Space group C2/m (No. 12)
Unique sites:
Rb1 0.000 0.169 0.000
Np1 0.000 0.333 0.500
Sc1 0.000 0.000 0.500
Te1 0.229 0.160 0.694
Te2 0.243 0.500 0.693

energy	-5.766	eV/atom
size of the total moment	14.000	μB/cell
calculated density	5.48	g cm⁻³
formation energy without anion corrections	-0.948	eV per atom

Copy entry 3 word for word.
VASP calculation (PBE-GGA) on a geometry-optimized Rb2Np2ScTe6 structure.

Cell lengths 7.647, 13.182, 9.131 Å; angles 90.00, 106.57, 90.00 degrees
Space group C2/m (No. 12)
Unique sites:
Rb1 0.000 0.169 0.000
Np1 0.000 0.333 0.500
Sc1 0.000 0.000 0.500
Te1 0.229 0.160 0.694
Te2 0.243 0.500 0.693

energy	-5.766	eV/atom
size of the total moment	14.000	μB/cell
calculated density	5.48	g cm⁻³
formation energy without anion corrections	-0.948	eV per atom

Question: Look up the calculated density of the third one.
Answer: 5.48 g cm⁻³